Computed, not measured: a relaxed structure of Ni2SF at the PBE+U level of DFT.

## Properties
Its space group is I-42d. The value obtained for the polymorph energy (0 for the lowest one) is 0.00 eV per formula unit. The value obtained for the density is 5.0 g/cm³. As for the crystal system: tetragonal. The value obtained for the raw total energy is -3.216 eV per atom.

Lattice parameters (Å, degrees): 5.981 5.981 5.255 55.31 55.31 90.00
Site moments in Bohr magnetons follow the coordinates.
Positions (direct):
Ni  0.607  0.125  0.250  1.42
Ni  0.143  0.625  0.250  1.42
Ni  0.375  0.393  0.750  1.42
Ni  0.875  0.857  0.750  1.42
S  0.000  0.000  0.000  0.09
S  0.750  0.250  0.500  0.09
F  0.500  0.500  0.000  0.03
F  0.250  0.750  0.500  0.03